Entry from Alexandria: an optimized crystal structure of ErHfTlAg (GGA-PBE).

Cell and atoms, written as POSCAR:
```
ErHfTlAg
1.0
0.000 3.582 3.582
3.582 0.000 3.582
3.582 3.582 0.000
Er Hf Tl Ag
1 1 1 1
Cartesian
0.000 0.000 0.000
3.582 3.582 3.582
1.791 1.791 1.791
5.373 5.373 5.373
```

Computed properties:
Its final energy is -19.92 eV for the cell shown. Its space group is F-43m (216). The calculated formation energy is -0.18 eV/f.u. The value obtained for the density is 11888 kg/m3. The value obtained for the density of states at the Fermi level is 2.349 states/eV/cell.